Record 1
DFT (GGA-PBE) results for a relaxed CsWC2 crystal.

a = 6.4022 Å, b = 6.4022 Å, c = 6.3988 Å
α = 59.98°, β = 59.98°, γ = 90.00°
Fractional positions:
Cs (0.5000, 0.5000, 0.0000)
Cs (0.2500, 0.7500, 0.5000)
C (0.8747, 0.1250, 0.2500)
C (0.8753, 0.6250, 0.2500)
C (0.3750, 0.1253, 0.7500)
C (0.8750, 0.1247, 0.7500)
W (0.0000, 0.0000, 0.0000)
W (0.7500, 0.2500, 0.5000)

Computed properties:
The size of the total moment is 0.000 Bohr magnetons per cell. As for the offset from the most stable computed form: 0.00 kJ per mole of atoms. The value obtained for the formation energy is 0.581 eV/atom. As for the space group: I4_1/amd (141).

=====

Record 2
DFT (GGA-PBE) results for a relaxed MoAsIN2 crystal.

a = 3.9922 Å, b = 3.9922 Å, c = 5.8319 Å
α = 90.00°, β = 90.00°, γ = 90.00°
Fractional positions:
I (0.0000, 0.0000, 0.5000)
Mo (0.0000, 0.0000, 0.0000)
As (0.5000, 0.5000, 0.5000)
N (0.0000, 0.5000, 0.0000)
N (0.5000, 0.0000, 0.0000)

Computed properties:
The size of the total moment is 0.959 Bohr magnetons per cell. As for the offset from the most stable computed form: 0.00 kJ per mole of atoms. As for the space group: P4/mmm (123). The formation energy from raw total energies is 918 meV/atom.

=====

Record 3
DFT (GGA-PBE) results for a relaxed Y2Er7 crystal.

a = 6.1004 Å, b = 6.1004 Å, c = 8.6362 Å
α = 90.00°, β = 90.00°, γ = 120.00°
Fractional positions:
Y (0.3333, 0.6667, 0.0000)
Y (0.6667, 0.3333, 0.0000)
Er (0.0000, 0.0000, 0.0000)
Er (0.6674, 0.0000, 0.3346)
Er (0.0000, 0.6674, 0.3346)
Er (0.3326, 0.3326, 0.3346)
Er (0.0000, 0.3326, 0.6654)
Er (0.3326, 0.0000, 0.6654)
Er (0.6674, 0.6674, 0.6654)

Computed properties:
The size of the total moment is 0.000 Bohr magnetons per cell. As for the offset from the most stable computed form: 0.00 kJ per mole of atoms. The value obtained for the formation energy is 0.029 eV/atom. As for the space group: P-31m (162).

=====

Record 4
DFT (GGA-PBE) results for a relaxed LiCeMg6O8 crystal.

a = 4.4147 Å, b = 4.4147 Å, c = 9.0128 Å
α = 90.00°, β = 90.00°, γ = 90.00°
Fractional positions:
Li (0.0000, 0.0000, 0.0000)
Ce (0.5000, 0.5000, 0.0000)
Mg (0.0000, 0.0000, 0.5000)
Mg (0.5000, 0.5000, 0.5000)
Mg (0.0000, 0.5000, 0.2686)
Mg (0.0000, 0.5000, 0.7314)
Mg (0.5000, 0.0000, 0.2686)
Mg (0.5000, 0.0000, 0.7314)
O (0.0000, 0.0000, 0.2664)
O (0.0000, 0.0000, 0.7336)
O (0.5000, 0.5000, 0.2686)
O (0.5000, 0.5000, 0.7314)
O (0.0000, 0.5000, 0.0000)
O (0.0000, 0.5000, 0.5000)
O (0.5000, 0.0000, 0.0000)
O (0.5000, 0.0000, 0.5000)

Computed properties:
The size of the total moment is 0.829 Bohr magnetons per cell. As for the offset from the most stable computed form: 0.00 kJ per mole of atoms. As for the space group: P4/mmm (123). The formation energy from raw total energies is -2590 meV/atom.

=====

Record 5
DFT (GGA-PBE) results for a relaxed Os3C4 crystal.

a = 5.8207 Å, b = 5.8207 Å, c = 2.6496 Å
α = 90.00°, β = 90.00°, γ = 120.00°
Fractional positions:
Os (0.0000, 0.5000, 0.0000)
Os (0.5000, 0.5000, 0.0000)
Os (0.5000, 0.0000, 0.0000)
C (0.0000, 0.0000, 0.2539)
C (0.0000, 0.0000, 0.7461)
C (0.6667, 0.3333, 0.5000)
C (0.3333, 0.6667, 0.5000)

Computed properties:
The size of the total moment is 0.165 Bohr magnetons per cell. As for the offset from the most stable computed form: 23.00 kJ per mole of atoms. The value obtained for the formation energy is 1.328 eV/atom. As for the space group: P6/mmm (191).

=====

Record 6
DFT (GGA-PBE) results for a relaxed Sc2SeBr crystal.

a = 9.6944 Å, b = 9.6944 Å, c = 9.6944 Å
α = 22.20°, β = 22.20°, γ = 22.20°
Fractional positions:
Br (0.7317, 0.7317, 0.7317)
Sc (0.0045, 0.0045, 0.0045)
Sc (0.2402, 0.2402, 0.2402)
Se (0.5236, 0.5236, 0.5236)

Computed properties:
The size of the total moment is 0.649 Bohr magnetons per cell. As for the offset from the most stable computed form: 18.78 kJ per mole of atoms. As for the space group: R3m (160). The formation energy from raw total energies is -1042 meV/atom.

=====

Question: Look up the offset from the most stable computed form of the sixth one.
Answer: 18.78 kJ per mole of atoms

=====

Question: Which of these has the highest size of the total moment?
Answer: MoAsIN2

=====

Question: Which value of offset from the most stable computed form does entry 1 give?
Answer: 0.00 kJ per mole of atoms